Record 1
Computed, not measured: Li2PrGaPd2 after structural relaxation at the PBE level of DFT.

Lattice parameters (Å, degrees): 4.7805 4.7805 5.7848 90.00 90.00 90.00
Element x y z (fractional)
Li 0.0000 0.0000 0.2260
Li 0.0000 0.0000 0.7740
Pr 0.5000 0.5000 0.5000
Ga 0.5000 0.5000 0.0000
Pd 0.0000 0.5000 0.0000
Pd 0.5000 0.0000 0.0000

Summary:
Its formation energy is -1.61 eV/f.u. Its density of states at the Fermi level is 0.72 states/eV per atom. The total energy is -3.938 eV/atom.


Record 2
Computed, not measured: Li2Pr2GaPd5 after structural relaxation at the PBE level of DFT.

Lattice parameters (Å, degrees): 9.6738 9.6738 3.7509 90.00 90.00 90.00
Element x y z (fractional)
Li 0.1194 0.3806 0.0000
Li 0.3806 0.8806 0.0000
Li 0.6194 0.1194 0.0000
Li 0.8806 0.6194 0.0000
Pr 0.1799 0.6799 0.0000
Pr 0.3201 0.1799 0.0000
Pr 0.6799 0.8201 0.0000
Pr 0.8201 0.3201 0.0000
Ga 0.0000 0.0000 0.0000
Ga 0.5000 0.5000 0.0000
Pd 0.0000 0.5000 0.5000
Pd 0.0629 0.2040 0.5000
Pd 0.2040 0.9371 0.5000
Pd 0.2960 0.4371 0.5000
Pd 0.4371 0.7040 0.5000
Pd 0.5000 0.0000 0.5000
Pd 0.5629 0.2960 0.5000
Pd 0.7040 0.5629 0.5000
Pd 0.7960 0.0629 0.5000
Pd 0.9371 0.7960 0.5000

Summary:
Its formation energy is -6.21 eV/f.u. Its density of states at the Fermi level is 0.41 states/eV per atom. The total energy is -4.858 eV/atom.